VASP calculation (PBE) on a geometry-optimized SrCd2Rh2 structure.

Computed properties:
The value obtained for the energy is -38.09 eV/cell. The energy of formation comes out at -0.166 eV per atom. The magnetic moment is 0.00 μB per formula unit. The energy above the most stable polymorph in this dataset comes out at 22 meV/atom.

abc: 7.8574 7.8574 3.2970
angles: 90.00 90.00 90.00
Last column: nearest neighbours and their distance in Å.
Positions (direct):
Sr 0.0000 0.0000 0.0000  4 Rh 3.04, 2 Sr 3.30
Sr 0.5000 0.5000 0.0000  4 Rh 3.04, 2 Sr 3.30
Cd 0.1527 0.3473 0.5000  6 Rh 2.83-2.84
Cd 0.3473 0.8473 0.5000  6 Rh 2.83-2.84
Cd 0.6527 0.1527 0.5000  6 Rh 2.83-2.84
Cd 0.8473 0.6527 0.5000  6 Rh 2.83-2.84
Rh 0.1396 0.6396 0.0000  6 Cd 2.83-2.84, 2 Sr 3.04, 1 Rh 3.10
Rh 0.3604 0.1396 0.0000  6 Cd 2.83-2.84, 2 Sr 3.04, 1 Rh 3.10
Rh 0.6396 0.8604 0.0000  6 Cd 2.83-2.84, 2 Sr 3.04, 1 Rh 3.10
Rh 0.8604 0.3604 0.0000  6 Cd 2.83-2.84, 2 Sr 3.04, 1 Rh 3.10